Computed, not measured: crystalline NbCuPt3 at its relaxed geometry at the PBE level of DFT.

a b c (Å): 4.526 4.526 4.526
angles (deg): 90.00 90.00 90.00
Site moments in Bohr magnetons follow the coordinates.
Sites, in units of the cell vectors:
Nb: 0.500 0.500 0.500  1.39
Cu: 0.000 0.000 0.000  -0.04
Pt: 0.000 0.500 0.000  0.14
Pt: 0.000 0.000 0.500  0.03
Pt: 0.500 0.000 0.000  0.19

For the density of states at the Fermi level, the calculation gives 8.0 states/eV/f.u. The calculation puts the energy above the most stable polymorph in this dataset at 127.3 kJ/mol of atoms. For the formation energy, the calculation gives 0.822 eV/atom. The value obtained for the total energy is -5.635 eV per atom.